P.
## HfCuN2 (GGA-PBE)

Data for a geometry-optimized HfCuN2 structure.

Cell: 4.574 4.574 10.024 Å, 90.00 90.00 90.00°
Element x y z (fractional)
Hf: 0.000 0.000 0.000
Hf: 0.000 0.500 0.250
Hf: 0.500 0.000 0.750
Hf: 0.500 0.500 0.500
Cu: 0.000 0.000 0.500
Cu: 0.000 0.500 0.750
Cu: 0.500 0.000 0.250
Cu: 0.500 0.500 0.000
N: 0.245 0.250 0.625
N: 0.250 0.745 0.875
N: 0.250 0.755 0.375
N: 0.255 0.250 0.125
N: 0.745 0.750 0.125
N: 0.750 0.245 0.375
N: 0.750 0.255 0.875
N: 0.755 0.750 0.625

volume = 13.1 A^3/atom
DOS(E_F) = 14.941 states/eV per cell

=====

Q.
## HfCuN2 (GGA-PBE)

Data for a geometry-optimized HfCuN2 structure.

Cell: 3.316 3.316 17.214 Å, 90.00 90.00 120.00°
Element x y z (fractional)
Hf: 0.000 0.000 0.000
Hf: 0.333 0.667 0.667
Hf: 0.667 0.333 0.333
Cu: 0.000 0.000 0.500
Cu: 0.333 0.667 0.167
Cu: 0.667 0.333 0.833
N: 0.000 0.000 0.395
N: 0.000 0.000 0.605
N: 0.333 0.667 0.061
N: 0.333 0.667 0.272
N: 0.667 0.333 0.728
N: 0.667 0.333 0.939

volume = 13.7 A^3/atom
DOS(E_F) = 15.909 states/eV per cell

=====

What should be chosen as the most stable of them? Choose Q.

=====

P.
## Hf4Cu2N (GGA-PBE)

Data for a geometry-optimized Hf4Cu2N structure.

Cell: 4.350 4.350 12.868 Å, 90.00 90.00 90.00°
Element x y z (fractional)
Hf: 0.000 0.000 0.178
Hf: 0.000 0.000 0.822
Hf: 0.000 0.500 0.000
Hf: 0.000 0.500 0.500
Hf: 0.500 0.000 0.000
Hf: 0.500 0.000 0.500
Hf: 0.500 0.500 0.322
Hf: 0.500 0.500 0.678
Cu: 0.000 0.000 0.376
Cu: 0.000 0.000 0.624
Cu: 0.500 0.500 0.124
Cu: 0.500 0.500 0.876
N: 0.000 0.000 0.000
N: 0.500 0.500 0.500

volume = 17.4 A^3/atom
DOS(E_F) = 7.267 states/eV per cell

=====

Q.
## Hf4Cu2N (GGA-PBE)

Data for a geometry-optimized Hf4Cu2N structure.

Cell: 14.047 3.172 5.689 Å, 90.00 111.46 90.00°
Element x y z (fractional)
Hf: 0.083 0.000 0.414
Hf: 0.107 0.500 0.957
Hf: 0.393 0.000 0.043
Hf: 0.417 0.500 0.586
Hf: 0.583 0.500 0.414
Hf: 0.607 0.000 0.957
Hf: 0.893 0.500 0.043
Hf: 0.917 0.000 0.586
Cu: 0.243 0.500 0.680
Cu: 0.257 0.000 0.320
Cu: 0.743 0.000 0.680
Cu: 0.757 0.500 0.320
N: 0.000 0.000 0.000
N: 0.500 0.500 0.000

volume = 16.8 A^3/atom
DOS(E_F) = 11.760 states/eV per cell

=====

What should be chosen as the most stable of them? Choose Q.

=====

P.
## HfCuSN2 (GGA-PBE)

Data for a geometry-optimized HfCuSN2 structure.

Cell: 3.713 3.713 4.938 Å, 90.00 90.00 90.00°
Element x y z (fractional)
Hf: 0.000 0.000 0.000
Cu: 0.500 0.500 0.000
S: 0.000 0.000 0.500
N: 0.000 0.500 0.500
N: 0.500 0.000 0.500

volume = 13.6 A^3/atom
DOS(E_F) = 3.692 states/eV per cell

=====

Q.
## HfCuSN2 (GGA-PBE)

Data for a geometry-optimized HfCuSN2 structure.

Cell: 4.041 4.041 5.307 Å, 90.00 90.00 90.00°
Element x y z (fractional)
Hf: 0.000 0.000 0.000
Cu: 0.500 0.500 0.500
S: 0.000 0.000 0.500
N: 0.000 0.500 0.000
N: 0.500 0.000 0.000

volume = 17.3 A^3/atom
DOS(E_F) = 6.554 states/eV per cell

=====

What should be chosen as the most stable of them? Choose Q.